DFT (PBE-GGA) results for a relaxed LiSmTlPb crystal.

Energy relative to the lowest polymorph listed for this composition, kJ per mole of atoms: 0.00
VASP energy, Ha/atom: -0.1306
Space-group type: Pmmm, No. 47
ΔE_f, eV per atom: -0.376

Cell lengths 4.5086, 4.7214, 4.8606 Å; angles 90.00, 90.00, 90.00 degrees
Last column: nearest neighbours and their distance in Å.
Positions (direct):
Li1 0.5000 0.0000 0.5000  4 Tl 3.26, 4 Pb 3.31, 4 Sm 3.39
Sm1 0.5000 0.5000 0.0000  4 Pb 3.26, 4 Tl 3.31, 4 Li 3.39
Tl1 0.0000 0.5000 0.5000  4 Li 3.26, 4 Sm 3.31, 4 Pb 3.39
Pb1 0.0000 0.0000 0.0000  4 Sm 3.26, 4 Li 3.31, 4 Tl 3.39

DFT (PBE-GGA) results for a relaxed LiCdPO4 crystal.

Energy relative to the lowest polymorph listed for this composition, kJ per mole of atoms: 0.00
VASP energy, Ha/atom: -0.2225
Formation energy from raw total energies, eV per formula unit: -14.31
Space-group type: Pna2_1, No. 33

Cell lengths 4.8866, 6.3738, 10.9194 Å; angles 90.00, 90.00, 90.00 degrees
Last column: nearest neighbours and their distance in Å.
Positions (direct):
Li1 0.0369 0.0203 0.4909  5 O 2.10-2.18
Li2 0.9631 0.5203 0.5091  5 O 2.10-2.18
Li3 0.5369 0.5203 0.0091  5 O 2.10-2.18
Li4 0.4631 0.0203 0.9909  5 O 2.10-2.18
Cd1 0.4542 0.2520 0.7151  6 O 2.26-2.41
Cd2 0.5458 0.7520 0.2849  6 O 2.26-2.41
Cd3 0.0458 0.2520 0.2151  6 O 2.26-2.41
Cd4 0.9542 0.7520 0.7849  6 O 2.26-2.41
P1 0.1096 0.7465 0.0889  4 O 1.54-1.58
P2 0.8904 0.2465 0.9111  4 O 1.54-1.58
P3 0.6096 0.2465 0.4111  4 O 1.54-1.58
P4 0.3904 0.7465 0.5889  4 O 1.54-1.58
O1 0.7733 0.2493 0.0438  1 P 1.56
O2 0.7959 0.7388 0.0949  1 P 1.54
O3 0.2267 0.7493 0.9562  1 P 1.56
O4 0.7366 0.4439 0.3454  1 P 1.58
O5 0.2959 0.2388 0.4051  1 P 1.54
O6 0.2366 0.9439 0.1546  1 P 1.58
O7 0.2733 0.7493 0.4562  1 P 1.56
O8 0.2634 0.9439 0.6546  1 P 1.58
O9 0.7513 0.0533 0.8454  1 P 1.58
O10 0.7041 0.7388 0.5949  1 P 1.54
O11 0.2487 0.5533 0.1546  1 P 1.58
O12 0.7267 0.2493 0.5438  1 P 1.56
O13 0.7634 0.4439 0.8454  1 P 1.58
O14 0.2513 0.5533 0.6546  1 P 1.58
O15 0.2041 0.2388 0.9051  1 P 1.54
O16 0.7487 0.0533 0.3454  1 P 1.58

DFT (PBE-GGA) results for a relaxed CoHgTe2N crystal.

Energy relative to the lowest polymorph listed for this composition, kJ per mole of atoms: 0.00
VASP energy, Ha/atom: -0.1504
Formation energy from raw total energies, eV per formula unit: 1.56
Space-group type: P4/mmm, No. 123

Cell lengths 5.5110, 5.5110, 3.4049 Å; angles 90.00, 90.00, 90.00 degrees
Last column: nearest neighbours and their distance in Å.
Positions (direct):
Te1 0.0000 0.5000 0.0000  2 Co 2.76
Te2 0.5000 0.0000 0.0000  2 Co 2.76
Co1 0.0000 0.0000 0.0000  2 N 1.70
Hg1 0.5000 0.5000 0.5000  8 Te 3.24, 2 Hg 3.40
N1 0.0000 0.0000 0.5000  2 Co 1.70

DFT (PBE-GGA) results for a relaxed ZnIn2Ag crystal.

VASP energy, Ha/atom: -0.0851
Space-group type: I-4m2, No. 119
ΔE_f, eV per atom: 0.085

Cell lengths 5.4469, 5.4469, 5.4469 Å; angles 133.08, 133.08, 68.52 degrees
Last column: nearest neighbours and their distance in Å.
Positions (direct):
Ag1 0.7500 0.2500 0.5000  8 In 3.07-3.13, 4 Zn 3.13
In1 0.0000 0.0000 0.0000  4 Zn 3.07, 4 In 3.13, 4 Ag 3.13
In2 0.2500 0.7500 0.5000  4 Ag 3.07, 4 Zn 3.13, 4 In 3.13
Zn1 0.5000 0.5000 0.0000  8 In 3.07-3.13, 4 Ag 3.13

DFT (PBE-GGA) results for a relaxed Cs2SrAs2Se6 crystal.

VASP energy, Ha/atom: -0.1395
Formation energy from raw total energies, eV per formula unit: -8.16
Space-group type: C2/m, No. 12

Cell lengths 7.6692, 7.6933, 9.0111 Å; angles 115.79, 90.00, 119.90 degrees
Last column: nearest neighbours and their distance in Å.
Positions (direct):
Cs1 0.7156 0.4312 0.2229  9 Se 3.75-3.96
Cs2 0.2844 0.5688 0.7771  9 Se 3.75-3.96
Sr1 0.5000 0.0000 0.5000  6 Se 3.09-3.13
As1 0.9688 0.9376 0.8357  3 Se 2.33
As2 0.0312 0.0624 0.1643  3 Se 2.33
Se1 0.7673 0.5345 0.6767  1 As 2.33
Se2 0.1980 0.8892 0.1906  1 As 2.33
Se3 0.3087 0.1108 0.8094  1 As 2.33
Se4 0.8020 0.1108 0.8094  1 As 2.33
Se5 0.6913 0.8892 0.1906  1 As 2.33
Se6 0.2327 0.4655 0.3233  1 As 2.33

DFT (PBE-GGA) results for a relaxed NaAgPd2 crystal.

Energy relative to the lowest polymorph listed for this composition, kJ per mole of atoms: 0.00
VASP energy, Ha/atom: -0.1354
Space-group type: P4/mmm, No. 123
ΔE_f, eV per atom: -0.045

Cell lengths 4.1651, 4.0473, 4.0473 Å; angles 90.00, 90.00, 90.00 degrees
Last column: nearest neighbours and their distance in Å.
Positions (direct):
Na1 0.5000 0.5000 0.5000  4 Ag 2.86, 8 Pd 2.90
Pd1 0.0000 0.0000 0.5000  4 Pd 2.86, 4 Na 2.90, 4 Ag 2.90
Pd2 0.0000 0.5000 0.0000  4 Pd 2.86, 4 Na 2.90, 4 Ag 2.90
Ag1 0.5000 0.0000 0.0000  4 Na 2.86, 8 Pd 2.90

DFT (PBE-GGA) results for a relaxed AcPrInBi crystal.

VASP energy, Ha/atom: -0.1609
Space-group type: F-43m, No. 216
ΔE_f, eV per atom: -0.500

Cell lengths 5.7471, 5.7471, 5.7471 Å; angles 60.00, 60.00, 60.00 degrees
Last column: nearest neighbours and their distance in Å.
Positions (direct):
Pr1 0.0000 0.0000 0.0000  4 In 3.52, 4 Bi 3.52
Ac1 0.5000 0.5000 0.5000  4 In 3.52, 4 Bi 3.52
Bi1 0.2500 0.2500 0.2500  4 Pr 3.52, 4 Ac 3.52
In1 0.7500 0.7500 0.7500  4 Ac 3.52, 4 Pr 3.52

DFT (PBE-GGA) results for a relaxed ErTmCdAu crystal.

Energy relative to the lowest polymorph listed for this composition, kJ per mole of atoms: 0.00
VASP energy, Ha/atom: -0.1436
Space-group type: P4mm, No. 99
ΔE_f, eV per atom: -0.602

Cell lengths 3.6478, 3.6478, 7.1789 Å; angles 90.00, 90.00, 90.00 degrees
Last column: nearest neighbours and their distance in Å.
Positions (direct):
Er1 0.0000 0.0000 0.8443  4 Au 3.10, 4 Cd 3.20, 1 Tm 3.40
Tm1 0.0000 0.0000 0.3703  4 Au 3.08, 4 Cd 3.19, 1 Er 3.40
Cd1 0.5000 0.5000 0.1091  4 Tm 3.19, 4 Er 3.20, 1 Au 3.55
Au1 0.5000 0.5000 0.6042  4 Tm 3.08, 4 Er 3.10

DFT (PBE-GGA) results for a relaxed TmScCoCu crystal.

Energy relative to the lowest polymorph listed for this composition, kJ per mole of atoms: 0.00
VASP energy, Ha/atom: -0.2124
Space-group type: P4mm, No. 99
ΔE_f, eV per atom: -0.279

Cell lengths 3.2629, 3.2629, 6.6265 Å; angles 90.00, 90.00, 90.00 degrees
Last column: nearest neighbours and their distance in Å.
Positions (direct):
Tm1 0.5000 0.5000 0.5952  4 Co 2.87, 4 Cu 2.97, 1 Sc 3.16
Sc1 0.5000 0.5000 0.1178  4 Co 2.73, 4 Cu 2.81
Co1 0.0000 0.0000 0.3386  4 Sc 2.73, 4 Tm 2.87
Cu1 0.0000 0.0000 0.8765  4 Sc 2.81, 4 Tm 2.97, 1 Co 3.06

DFT (PBE-GGA) results for a relaxed HfZr3Be crystal.

Energy relative to the lowest polymorph listed for this composition, kJ per mole of atoms: 103.48
VASP energy, Ha/atom: -0.2353
Space-group type: Pm-3m, No. 221
ΔE_f, eV per atom: 1.462

Cell lengths 5.1215, 5.1215, 5.1215 Å; angles 90.00, 90.00, 90.00 degrees
Last column: nearest neighbours and their distance in Å.
Positions (direct):
Be1 0.5000 0.5000 0.5000  12 Zr 3.62
Hf1 0.0000 0.0000 0.0000  6 Zr 2.56
Zr1 0.0000 0.5000 0.0000  2 Hf 2.56
Zr2 0.0000 0.0000 0.5000  2 Hf 2.56
Zr3 0.5000 0.0000 0.0000  2 Hf 2.56

DFT (PBE-GGA) results for a relaxed Pr2Al5Au3 crystal.

VASP energy, Ha/atom: -0.1658
Space-group type: Ibam, No. 72
ΔE_f, eV per atom: -0.700

Cell lengths 6.2435, 8.7363, 8.7363 Å; angles 76.01, 69.06, 69.06 degrees
Last column: nearest neighbours and their distance in Å.
Positions (direct):
Pr1 0.1298 0.6092 0.1313  10 Al 3.22-3.48, 6 Au 3.30-3.59
Pr2 0.6298 0.1313 0.6092  10 Al 3.22-3.48, 6 Au 3.30-3.59
Pr3 0.8702 0.3908 0.8687  10 Al 3.22-3.48, 6 Au 3.30-3.59
Pr4 0.3702 0.8687 0.3908  10 Al 3.22-3.48, 6 Au 3.30-3.59
Al1 0.3875 0.2581 0.9669  3 Au 2.51-2.61, 2 Al 2.70
Al2 0.8875 0.9669 0.2581  3 Au 2.51-2.61, 2 Al 2.70
Al3 0.6125 0.7419 0.0331  3 Au 2.51-2.61, 2 Al 2.70
Al4 0.1125 0.0331 0.7419  3 Au 2.51-2.61, 2 Al 2.70
Al5 0.4883 0.7617 0.7617  2 Au 2.60, 2 Al 2.70
Al6 0.5117 0.2383 0.2383  2 Au 2.60, 2 Al 2.70
Al7 0.7500 0.5000 0.5000  4 Au 2.59
Al8 0.2500 0.5000 0.5000  4 Au 2.59
Al9 0.0117 0.2383 0.2383  2 Au 2.60, 2 Al 2.70
Al10 0.9883 0.7617 0.7617  2 Au 2.60, 2 Al 2.70
Au1 0.3696 0.5088 0.7520  5 Al 2.51-2.60
Au2 0.8696 0.7520 0.5088  5 Al 2.51-2.60
Au3 0.6304 0.4912 0.2480  5 Al 2.51-2.60
Au4 0.1304 0.2480 0.4912  5 Al 2.51-2.60
Au5 0.2500 0.0000 0.0000  4 Al 2.61
Au6 0.7500 0.0000 0.0000  4 Al 2.61

DFT (PBE-GGA) results for a relaxed BaTi3Mo crystal.

Energy relative to the lowest polymorph listed for this composition, kJ per mole of atoms: 152.01
VASP energy, Ha/atom: -0.1866
Space-group type: Pm-3m, No. 221
ΔE_f, eV per atom: 2.211

Cell lengths 4.8564, 4.8564, 4.8564 Å; angles 90.00, 90.00, 90.00 degrees
Last column: nearest neighbours and their distance in Å.
Positions (direct):
Mo1 0.5000 0.5000 0.5000  12 Ti 3.43
Ba1 0.0000 0.0000 0.0000  6 Ti 2.43
Ti1 0.0000 0.5000 0.0000  2 Ba 2.43
Ti2 0.0000 0.0000 0.5000  2 Ba 2.43
Ti3 0.5000 0.0000 0.0000  2 Ba 2.43

DFT (PBE-GGA) results for a relaxed RbBi3Au3 crystal.

Energy relative to the lowest polymorph listed for this composition, kJ per mole of atoms: 0.00
VASP energy, Ha/atom: -0.1222
Space-group type: P6_3/m, No. 176
ΔE_f, eV per atom: -0.119

Cell lengths 4.9338, 9.7110, 9.7108 Å; angles 120.00, 90.00, 90.00 degrees
Last column: nearest neighbours and their distance in Å.
Positions (direct):
Rb1 0.7500 0.3333 0.6667  9 Au 3.32-3.47
Rb2 0.2500 0.6667 0.3333  9 Au 3.32-3.47
Bi1 0.7500 0.7649 0.0543  4 Au 2.95-3.10
Bi2 0.7500 0.2894 0.2351  4 Au 2.95-3.10
Bi3 0.7500 0.9457 0.7106  4 Au 2.95-3.10
Bi4 0.2500 0.2351 0.9457  4 Au 2.95-3.10
Bi5 0.2500 0.7106 0.7649  4 Au 2.95-3.10
Bi6 0.2500 0.0543 0.2894  4 Au 2.95-3.10
Au1 0.7500 0.9462 0.4052  2 Au 2.94, 4 Bi 2.95-3.10
Au2 0.7500 0.4590 0.0537  2 Au 2.94, 4 Bi 2.95-3.10
Au3 0.7500 0.5948 0.5410  2 Au 2.94, 4 Bi 2.95-3.10
Au4 0.2500 0.0538 0.5948  2 Au 2.94, 4 Bi 2.95-3.10
Au5 0.2500 0.5410 0.9463  2 Au 2.94, 4 Bi 2.95-3.10
Au6 0.2500 0.4052 0.4590  2 Au 2.94, 4 Bi 2.95-3.10

DFT (PBE-GGA) results for a relaxed TaSnPb3 crystal.

Energy relative to the lowest polymorph listed for this composition, kJ per mole of atoms: 0.00
VASP energy, Ha/atom: -0.1752
Space-group type: Pm-3m, No. 221
ΔE_f, eV per atom: 0.628

Cell lengths 5.5314, 5.5314, 5.5314 Å; angles 90.00, 90.00, 90.00 degrees
Last column: nearest neighbours and their distance in Å.
Positions (direct):
Pb1 0.0000 0.5000 0.0000  2 Ta 2.77
Pb2 0.0000 0.0000 0.5000  2 Ta 2.77
Pb3 0.5000 0.0000 0.0000  2 Ta 2.77
Sn1 0.5000 0.5000 0.5000  12 Pb 3.91
Ta1 0.0000 0.0000 0.0000  6 Pb 2.77

DFT (PBE-GGA) results for a relaxed CaTe2P crystal.

VASP energy, Ha/atom: -0.1363
Formation energy from raw total energies, eV per formula unit: -1.14
Space-group type: P4/mmm, No. 123

Cell lengths 3.8732, 5.1372, 5.1372 Å; angles 90.00, 90.00, 90.00 degrees
Last column: nearest neighbours and their distance in Å.
Positions (direct):
Ca1 0.5000 0.5000 0.0000  8 Te 3.22
P1 0.5000 0.0000 0.5000  8 Te 3.22
Te1 0.0000 0.0000 0.0000  4 Ca 3.22, 4 P 3.22
Te2 0.0000 0.5000 0.5000  4 Ca 3.22, 4 P 3.22